Entry 1:
VASP calculation (GGA-PBEsol) on a relaxed structure of Al2ReSe.

Lattice parameters (Å, degrees): 5.1624 5.1624 4.7070 105.77 105.77 32.82
Last column: nearest neighbours and their distance in Å.
Sites, in units of the cell vectors:
Al 0.0000 0.0000 0.0000  1 Se 2.49, 2 Re 2.66
Al 0.2146 0.2146 0.6311  3 Re 2.68-2.81, 4 Se 2.79-2.93, 2 Al 2.92
Re 0.4785 0.4785 0.5170  2 Se 2.51, 4 Al 2.66-2.68
Se 0.7908 0.7908 0.1951  3 Al 2.49-2.79, 2 Re 2.51

Results
Raw formation energy (eV per formula unit): 0.01
SG: No. 8

=====

Entry 2:
VASP calculation (GGA-PBEsol) on a relaxed structure of Li2TaSb.

Lattice parameters (Å, degrees): 5.3938 5.3938 5.4051 113.45 113.45 31.07
Last column: nearest neighbours and their distance in Å.
Sites, in units of the cell vectors:
Li 0.0000 0.0000 0.0000  5 Li 2.71-2.92, 2 Sb 2.94, 1 Ta 3.03
Li 0.2419 0.2419 0.9225  5 Li 2.71-2.92, 2 Sb 3.00
Ta 0.7613 0.7613 0.4376  3 Sb 2.75-2.85, 2 Ta 2.89, 5 Li 3.03-3.07
Sb 0.5059 0.5059 0.4790  3 Ta 2.75-2.85, 2 Sb 2.89, 4 Li 2.94-3.00

Results
Raw formation energy (eV per formula unit): 0.56
SG: No. 8

=====

Entry 3:
VASP calculation (GGA-PBEsol) on a relaxed structure of TaIrBr2.

Lattice parameters (Å, degrees): 8.8046 8.8046 8.8046 23.33 23.33 23.33
Last column: nearest neighbours and their distance in Å.
Sites, in units of the cell vectors:
Ta 0.0000 0.0000 0.0000  3 Ir 2.47
Ir 0.2803 0.2803 0.2803  3 Ta 2.47
Br 0.5404 0.5404 0.5404  3 Ir 2.78
Br 0.7427 0.7427 0.7427  3 Ta 2.84

Results
Raw formation energy (eV per formula unit): -1.62
SG: No. 160
Excess energy over the best structure of this formula in the dataset (meV per atom): 0

=====

- Among the records above, which one has the lowest raw formation energy?
  TaIrBr2

=====

- What is the formula in the second record?
  Li2TaSb